Record 1
A plane-wave DFT calculation with PBE was carried out for TmScTeC after structural relaxation.

spin magnetization: 0.01 μB per formula unit
energy above the most stable polymorph in this dataset: 2 meV per atom

a = 3.6727 Å, b = 3.6727 Å, c = 13.5284 Å
α = 90.00°, β = 90.00°, γ = 120.00°
Last column: nearest neighbours and their distance in Å.
Atoms (fractional coordinates):
Tm 0.3333 0.6667 0.0952  3 C 2.48
Tm 0.6667 0.3333 0.9048  3 C 2.48
Sc 0.3333 0.6667 0.4136  3 C 2.42
Sc 0.6667 0.3333 0.5864  3 C 2.42
Te 0.3333 0.6667 0.7392  3 Sc 2.96, 3 Tm 3.08
Te 0.6667 0.3333 0.2608  3 Sc 2.96, 3 Tm 3.08
C 0.0000 0.0000 0.0000  6 Tm 2.48
C 0.0000 0.0000 0.5000  6 Sc 2.42

---

Record 2
A plane-wave DFT calculation with PBE was carried out for TlBW after structural relaxation.

spin magnetization: 0.00 μB per formula unit
energy above the most stable polymorph in this dataset: 0 meV per atom

a = 4.0484 Å, b = 4.0484 Å, c = 4.0484 Å
α = 60.00°, β = 60.00°, γ = 60.00°
Last column: nearest neighbours and their distance in Å.
Atoms (fractional coordinates):
Tl 0.0000 0.0000 0.0000  4 B 2.48
B 0.2500 0.2500 0.2500  4 Tl 2.48, 4 W 2.48
W 0.5000 0.5000 0.5000  4 B 2.48

---

Record 3
A plane-wave DFT calculation with PBE was carried out for HoErAu2 after structural relaxation.

spin magnetization: 0.00 μB per formula unit
energy above the most stable polymorph in this dataset: 0 meV per atom

a = 4.6297 Å, b = 5.7473 Å, c = 5.7473 Å
α = 37.48°, β = 90.00°, γ = 90.00°
Last column: nearest neighbours and their distance in Å.
Atoms (fractional coordinates):
Ho 0.0000 0.0000 0.0000  7 Au 2.95-3.10
Er 0.5000 0.7206 0.7206  7 Au 2.95-3.10
Au 0.0000 0.2713 0.2713  3 Ho 2.95-3.10, 4 Er 3.01, 2 Au 3.02
Au 0.5000 0.4493 0.4493  3 Er 2.95-3.10, 4 Ho 3.01, 2 Au 3.02

---

Record 4
A plane-wave DFT calculation with PBE was carried out for BeAlFeCu after structural relaxation.

spin magnetization: 0.50 μB per formula unit
energy above the most stable polymorph in this dataset: 0 meV per atom

a = 3.9496 Å, b = 3.9496 Å, c = 3.9496 Å
α = 60.00°, β = 60.00°, γ = 60.00°
Last column: nearest neighbours and their distance in Å.
Atoms (fractional coordinates):
Be 0.0000 0.0000 0.0000  4 Fe 2.42, 4 Cu 2.42
Al 0.5000 0.5000 0.5000  4 Fe 2.42, 4 Cu 2.42
Fe 0.2500 0.2500 0.2500  4 Be 2.42, 4 Al 2.42
Cu 0.7500 0.7500 0.7500  4 Be 2.42, 4 Al 2.42

---

Record 5
A plane-wave DFT calculation with PBE was carried out for YLuAlFe after structural relaxation.

spin magnetization: 1.00 μB per formula unit
energy above the most stable polymorph in this dataset: 0 meV per atom

a = 4.7642 Å, b = 4.7642 Å, c = 4.7642 Å
α = 60.00°, β = 60.00°, γ = 60.00°
Last column: nearest neighbours and their distance in Å.
Atoms (fractional coordinates):
Y 0.0000 0.0000 0.0000  4 Al 2.92, 4 Lu 2.92
Lu 0.7500 0.7500 0.7500  4 Fe 2.92, 4 Y 2.92
Al 0.2500 0.2500 0.2500  4 Fe 2.92, 4 Y 2.92
Fe 0.5000 0.5000 0.5000  4 Lu 2.92, 4 Al 2.92

---

Record 6
A plane-wave DFT calculation with PBE was carried out for SrSi2PdAu after structural relaxation.

a = 5.8783 Å, b = 5.8783 Å, c = 5.8783 Å
α = 136.05°, β = 136.05°, γ = 63.91°
Last column: nearest neighbours and their distance in Å.
Atoms (fractional coordinates):
Sr 0.0000 0.0000 0.0000  4 Pd 3.33, 4 Au 3.33, 8 Si 3.34
Si 0.3792 0.3792 0.0000  1 Si 2.41, 2 Pd 2.55, 2 Au 2.55
Si 0.6208 0.6208 0.0000  1 Si 2.41, 2 Au 2.55, 2 Pd 2.55
Pd 0.7500 0.2500 0.5000  4 Si 2.55
Au 0.2500 0.7500 0.5000  4 Si 2.55

---

The evaluated raw total energy for the records listed, in turn: -6.6523, -5.9424, -4.8153, -4.9868, -5.6718, -4.8119 eV per atom.